BeCrW2 PBEsol relaxed; total magnetization = 0.000 μB/cell; ΔH_f (0 K) = 0.216 eV per atom; electronic total energy = -10.25 eV/atom
1.0
4.633 -1.526 0.000
4.633 1.526 0.000
-1.818 0.000 3.697
Be Cr W
1 1 2
direct
0.000 0.000 0.000 Be
0.258 0.258 0.759 Cr
0.522 0.522 0.522 W
0.765 0.765 0.265 W